(1)
## Cs5Hg2Te5 (PBE)

Data for a relaxed Cs5Hg2Te5 crystal.

Lattice parameters (Å, degrees): 9.296 9.296 13.249 98.83 98.83 29.98
Fractional positions:
Cs 0.000 0.000 0.000
Cs 0.148 0.148 0.603
Cs 0.286 0.286 0.874
Cs 0.714 0.714 0.126
Cs 0.852 0.852 0.397
Hg 0.474 0.474 0.716
Hg 0.526 0.526 0.284
Te 0.120 0.120 0.289
Te 0.384 0.384 0.153
Te 0.500 0.500 0.500
Te 0.616 0.616 0.847
Te 0.880 0.880 0.711

Properties
DOS at the Fermi energy in states/eV per atom: 0.86
Uncorrected formation energy in eV per atom: -0.6978
Space group: C2/m (12)

***

(2)
## LiAc3S4 (PBE)

Data for a relaxed LiAc3S4 crystal.

Lattice parameters (Å, degrees): 6.020 6.020 6.020 90.00 90.00 90.00
Fractional positions:
Li 0.000 0.000 0.000
Ac 0.000 0.500 0.500
Ac 0.500 0.000 0.500
Ac 0.500 0.500 0.000
S 0.000 0.000 0.500
S 0.000 0.500 0.000
S 0.500 0.000 0.000
S 0.500 0.500 0.500

Properties
DOS at the Fermi energy in states/eV per atom: 0.35
Uncorrected formation energy in eV per atom: -1.9046
Space group: Pm-3m (221)

***

(3)
## PmNdTeO6 (PBE)

Data for a relaxed PmNdTeO6 crystal.

Lattice parameters (Å, degrees): 5.719 5.719 9.682 90.00 90.00 120.00
Fractional positions:
Pm 0.333 0.667 0.250
Pm 0.667 0.333 0.750
Nd 0.000 0.000 0.000
Nd 0.000 0.000 0.500
Te 0.333 0.667 0.750
Te 0.667 0.333 0.250
O 0.052 0.380 0.636
O 0.052 0.673 0.864
O 0.327 0.380 0.864
O 0.327 0.948 0.636
O 0.380 0.052 0.136
O 0.380 0.327 0.364
O 0.620 0.673 0.636
O 0.620 0.948 0.864
O 0.673 0.052 0.364
O 0.673 0.620 0.136
O 0.948 0.327 0.136
O 0.948 0.620 0.364

Properties
DOS at the Fermi energy in states/eV per atom: 0.00
Uncorrected formation energy in eV per atom: -2.3682
Space group: P-31c (163)